Record 1
Entry from the Alexandria database: a geometry-optimized SrCoPt3 structure (GGA-PBEsol).

Cell: 4.626 4.626 4.626 Å, 90.00 90.00 90.00°
Site moments in Bohr magnetons follow the coordinates.
Fractional coordinates of all 5 atoms:
Pt (0.500, 0.000, 0.000)  0.30
Pt (0.000, 0.000, 0.500)  0.30
Pt (0.000, 0.500, 0.000)  0.30
Sr (0.500, 0.500, 0.500)  0.00
Co (0.000, 0.000, 0.000)  1.86

Summary:
Magnetization: 2.79 μB per formula unit
Energy: -29.66 eV/f.u.
Energy of formation from the pure elements: 161.7 meV per atom
DOS(E_F): 4.30 states/eV/cell

Record 2
Entry from the Alexandria database: a geometry-optimized AlIn3Co structure (GGA-PBEsol).

Cell: 4.859 4.859 4.859 Å, 90.00 90.00 90.00°
Fractional coordinates of all 5 atoms:
In (0.000, 0.500, 0.000)
In (0.000, 0.000, 0.500)
In (0.500, 0.000, 0.000)
Al (0.500, 0.500, 0.500)
Co (0.000, 0.000, 0.000)

Summary:
Magnetization: 0.00 μB per formula unit
Energy: -19.66 eV/f.u.
Energy of formation from the pure elements: 223.3 meV per atom
DOS(E_F): 2.39 states/eV/cell

Record 3
Entry from the Alexandria database: a geometry-optimized ZnCu2Br structure (GGA-PBEsol).

Cell: 3.225 3.225 6.005 Å, 90.00 90.00 90.00°
Fractional coordinates of all 4 atoms:
Zn (0.500, 0.500, 0.000)
Cu (0.000, 0.000, 0.803)
Cu (0.000, 0.000, 0.197)
Br (0.500, 0.500, 0.500)

Summary:
Magnetization: 0.00 μB per formula unit
Energy: -11.34 eV/f.u.
E_form (uncorrected): 0.196 eV per atom
Polymorph energy (0 for the lowest one): 0.090 eV per atom
DOS(E_F): 1.25 states/eV/cell

Record 4
Entry from the Alexandria database: a geometry-optimized Zn2FeSe structure (GGA-PBEsol).

Cell: 2.773 3.970 5.801 Å, 90.00 103.93 90.00°
Site moments in Bohr magnetons follow the coordinates.
Fractional coordinates of all 4 atoms:
Se (0.197, 0.500, 0.268)  0.03
Fe (0.350, 0.000, 0.578)  2.19
Zn (0.044, 0.000, 0.961)  -0.04
Zn (0.909, 0.500, 0.693)  -0.06

Summary:
Magnetization: 2.10 μB per formula unit
Energy: -15.37 eV/f.u.
E_form (uncorrected): 0.152 eV per atom
DOS(E_F): 3.04 states/eV/cell

Record 5
Entry from the Alexandria database: a geometry-optimized Li11V6O5F19 structure (GGA-PBEsol).

Cell: 4.940 5.368 15.867 Å, 98.17 89.15 91.58°
Site moments in Bohr magnetons follow the coordinates.
Fractional coordinates of all 41 atoms:
Li (0.521, 0.547, 0.224)  0.00
Li (0.975, 0.720, 0.555)  0.00
Li (0.490, 0.242, 0.562)  0.00
Li (0.988, 0.438, 0.890)  0.00
Li (0.537, 0.806, 0.879)  0.00
Li (0.042, 0.568, 0.106)  0.00
Li (0.490, 0.108, 0.109)  0.00
Li (0.487, 0.221, 0.805)  0.00
Li (0.009, 0.244, 0.438)  0.00
Li (0.473, 0.799, 0.442)  0.00
Li (0.981, 0.088, 0.227)  0.00
V (0.023, 0.996, 0.998)  1.79
V (0.968, 0.358, 0.667)  2.00
V (0.497, 0.171, 0.334)  1.88
V (0.998, 0.669, 0.333)  1.87
V (0.496, 0.818, 0.662)  1.91
V (0.522, 0.491, 0.002)  1.87
O (0.692, 0.541, 0.634)  -0.12
O (0.788, 0.374, 0.306)  -0.09
O (0.203, 0.970, 0.365)  -0.05
O (0.801, 0.707, 0.971)  -0.09
O (0.236, 0.287, 0.036)  -0.06
F (0.176, 0.665, 0.706)  0.02
F (0.329, 0.852, 0.551)  0.01
F (0.741, 0.198, 0.949)  0.01
F (0.627, 0.894, 0.777)  0.02
F (0.700, 0.860, 0.284)  0.01
F (0.213, 0.982, 0.891)  0.02
F (0.792, 0.030, 0.617)  0.01
F (0.835, 0.363, 0.783)  0.01
F (0.138, 0.359, 0.550)  0.01
F (0.346, 0.190, 0.219)  0.01
F (0.293, 0.482, 0.383)  0.01
F (0.641, 0.157, 0.451)  0.01
F (0.163, 0.662, 0.218)  0.01
F (0.307, 0.166, 0.695)  0.00
F (0.363, 0.487, 0.886)  0.01
F (0.676, 0.484, 0.117)  0.01
F (0.852, 0.014, 0.116)  0.01
F (0.830, 0.684, 0.449)  0.01
F (0.305, 0.795, 0.051)  0.01

Summary:
Magnetization: 12.00 μB per formula unit
Energy: -254.22 eV/f.u.
E_form (uncorrected): -2.729 eV per atom
DOS(E_F): 4.41 states/eV/cell

Record 6
Entry from the Alexandria database: a geometry-optimized ZnCuBi2Rh structure (GGA-PBEsol).

Cell: 4.564 5.138 5.138 Å, 90.00 90.00 90.00°
Fractional coordinates of all 5 atoms:
Bi (0.000, 0.500, 0.000)
Bi (0.000, 0.000, 0.500)
Rh (0.500, 0.000, 0.000)
Cu (0.500, 0.500, 0.500)
Zn (0.000, 0.000, 0.000)

Summary:
Magnetization: 0.00 μB per formula unit
Energy: -18.05 eV/f.u.
Energy of formation from the pure elements: 915.7 meV per atom
DOS(E_F): 2.05 states/eV/cell

Record 7
Entry from the Alexandria database: a geometry-optimized LiCa2Ta structure (GGA-PBEsol).

Cell: 3.181 4.392 7.443 Å, 90.00 89.95 90.00°
Site moments in Bohr magnetons follow the coordinates.
Fractional coordinates of all 4 atoms:
Ca (0.000, 0.000, 0.736)  0.09
Ca (0.000, 0.000, 0.264)  0.09
Li (0.500, 0.500, 0.000)  0.01
Ta (0.500, 0.500, 0.500)  0.80

Summary:
Magnetization: 1.88 μB per formula unit
Energy: -16.08 eV/f.u.
Energy of formation from the pure elements: 676.9 meV per atom
DOS(E_F): 3.56 states/eV/cell

Record 8
Entry from the Alexandria database: a geometry-optimized CoAg2Br structure (GGA-PBEsol).

Cell: 4.567 4.567 4.567 Å, 60.00 60.00 60.00°
Site moments in Bohr magnetons follow the coordinates.
Fractional coordinates of all 4 atoms:
Co (0.750, 0.750, 0.750)  1.68
Ag (0.250, 0.250, 0.250)  -0.02
Ag (0.000, 0.000, 0.000)  0.00
Br (0.500, 0.500, 0.500)  0.03

Summary:
Magnetization: 1.67 μB per formula unit
Energy: -13.64 eV/f.u.
E_form (uncorrected): 0.648 eV per atom
Polymorph energy (0 for the lowest one): 0.271 eV per atom
DOS(E_F): 5.65 states/eV/cell

Record 9
Entry from the Alexandria database: a geometry-optimized ZrScBi3 structure (GGA-PBEsol).

Cell: 5.554 5.554 5.554 Å, 90.00 90.00 90.00°
Fractional coordinates of all 5 atoms:
Bi (0.500, 0.000, 0.000)
Bi (0.000, 0.500, 0.000)
Bi (0.000, 0.000, 0.500)
Zr (0.000, 0.000, 0.000)
Sc (0.500, 0.500, 0.500)

Summary:
Magnetization: 0.00 μB per formula unit
Energy: -26.66 eV/f.u.
Energy of formation from the pure elements: 378.4 meV per atom
DOS(E_F): 5.90 states/eV/cell

Record 10
Entry from the Alexandria database: a geometry-optimized FeP2Pb structure (GGA-PBEsol).

Cell: 3.950 3.950 5.278 Å, 111.98 111.98 90.00°
Site moments in Bohr magnetons follow the coordinates.
Fractional coordinates of all 4 atoms:
P (0.750, 0.250, 0.500)  -0.04
P (0.000, 0.000, 0.000)  -0.01
Fe (0.250, 0.750, 0.500)  2.77
Pb (0.500, 0.500, 0.000)  -0.01

Summary:
Magnetization: 2.71 μB per formula unit
Energy: -21.55 eV/f.u.
Energy of formation from the pure elements: 749.4 meV per atom
DOS(E_F): 4.79 states/eV/cell

Record 11
Entry from the Alexandria database: a geometry-optimized NdGaNi structure (GGA-PBEsol).

Cell: 4.406 7.049 7.094 Å, 90.00 90.00 90.00°
Fractional coordinates of all 12 atoms:
Ga (0.250, 0.672, 0.914)
Ga (0.750, 0.828, 0.414)
Ga (0.750, 0.328, 0.086)
Ga (0.250, 0.172, 0.586)
Nd (0.750, 0.469, 0.688)
Nd (0.750, 0.969, 0.812)
Nd (0.250, 0.031, 0.188)
Nd (0.250, 0.531, 0.312)
Ni (0.750, 0.190, 0.410)
Ni (0.750, 0.690, 0.090)
Ni (0.250, 0.310, 0.910)
Ni (0.250, 0.810, 0.590)

Summary:
Magnetization: 0.00 μB per formula unit
Energy: -16.42 eV/f.u.
Energy of formation from the pure elements: -585.5 meV per atom
DOS(E_F): 6.94 states/eV/cell

Record 12
Entry from the Alexandria database: a geometry-optimized Zr5Rh3 structure (GGA-PBEsol).

Cell: 7.836 7.836 16.902 Å, 90.00 90.00 120.00°
Fractional coordinates of all 48 atoms:
Zr (0.341, 0.681, 0.083)
Zr (0.319, 0.659, 0.417)
Zr (0.235, 0.223, 0.162)
Zr (0.659, 0.319, 0.583)
Zr (0.000, 0.747, 0.167)
Zr (0.619, 0.238, 0.083)
Zr (0.253, 0.000, 0.333)
Zr (0.747, 0.000, 0.833)
Zr (0.381, 0.762, 0.583)
Zr (0.747, 0.747, 0.000)
Zr (0.762, 0.381, 0.417)
Zr (0.253, 0.253, 0.500)
Zr (0.341, 0.659, 0.750)
Zr (0.988, 0.223, 0.005)
Zr (0.381, 0.619, 0.250)
Zr (0.223, 0.988, 0.995)
Zr (0.659, 0.341, 0.250)
Zr (0.012, 0.235, 0.329)
Zr (0.988, 0.765, 0.829)
Zr (0.765, 0.777, 0.662)
Zr (0.619, 0.381, 0.750)
Zr (0.000, 0.253, 0.667)
Zr (0.235, 0.012, 0.671)
Zr (0.681, 0.341, 0.917)
Zr (0.777, 0.012, 0.495)
Zr (0.012, 0.777, 0.505)
Zr (0.777, 0.765, 0.338)
Zr (0.238, 0.619, 0.917)
Zr (0.765, 0.988, 0.171)
Zr (0.223, 0.235, 0.838)
Rh (0.391, 0.424, 0.642)
Rh (0.576, 0.968, 0.975)
Rh (0.424, 0.391, 0.358)
Rh (0.383, 0.383, 0.000)
Rh (0.032, 0.609, 0.308)
Rh (0.032, 0.424, 0.525)
Rh (0.617, 0.000, 0.333)
Rh (0.609, 0.032, 0.692)
Rh (0.617, 0.617, 0.500)
Rh (0.383, 0.000, 0.833)
Rh (0.000, 0.617, 0.667)
Rh (0.609, 0.576, 0.142)
Rh (0.424, 0.032, 0.475)
Rh (0.968, 0.576, 0.025)
Rh (0.391, 0.968, 0.192)
Rh (0.576, 0.609, 0.858)
Rh (0.968, 0.391, 0.808)
Rh (0.000, 0.383, 0.167)

Summary:
Magnetization: 0.00 μB per formula unit
Energy: -74.76 eV/f.u.
Energy of formation from the pure elements: -611.4 meV per atom
Polymorph energy (0 for the lowest one): 0.000 eV per atom
DOS(E_F): 42.68 states/eV/cell

Q: DOS(E_F) of number 7 (LiCa2Ta)?
A: 3.56 states/eV/cell

Q: Which of these has the highest magnetization?
A: Li11V6O5F19